The following is a DFT calculation (PBE) of a geometry-optimized MnOs2Au structure.

Geometry as extended XYZ:
```
4
Lattice="2.813 0.000 0.000 0.000 3.824 0.000 0.000 0.000 5.614" Properties=species:S:1:pos:R:3 pbc="T T T"
Mn 0.000 0.000 0.000
Os 0.000 0.000 3.063
Os 1.407 1.912 4.188
Au 1.407 1.912 1.410
```

Computed properties:
distance to the lowest polymorph of the same formula	6	meV/atom
crystal system	orthorhombic
space group	No. 25
final energy	-34.0	eV per cell
DFT formation energy	0.23	eV per atom

The following is a DFT calculation (PBE) of a geometry-optimized USn2Pd6 structure.

Geometry as extended XYZ:
```
9
Lattice="6.156 0.000 0.000 -3.078 5.331 0.000 0.000 0.000 5.235" Properties=species:S:1:pos:R:3 pbc="T T T"
U 0.000 0.000 0.000
Sn 0.000 3.554 4.374
Sn 3.078 1.777 0.861
Pd 0.000 1.971 1.676
Pd -1.371 4.346 1.676
Pd 1.707 0.986 3.559
Pd 1.371 4.346 1.676
Pd 4.449 0.986 3.559
Pd 3.078 3.360 3.559
```

Computed properties:
crystal system	trigonal
space group	No. 164
final energy	-53.0	eV per cell
DFT formation energy	-0.28	eV per atom

The following is a DFT calculation (PBE) of a geometry-optimized CuRu2Cl structure.

Geometry as extended XYZ:
```
4
Lattice="2.750 0.000 0.000 0.000 4.449 0.000 0.000 0.000 4.770" Properties=species:S:1:pos:R:3 pbc="T T T"
Cu 0.000 0.000 0.000
Ru 0.000 2.225 2.385
Ru 1.375 2.225 0.000
Cl 1.375 0.000 2.385
```

Computed properties:
distance to the lowest polymorph of the same formula	546	meV/atom
crystal system	orthorhombic
space group	No. 47
energy relative to the elements, uncorrected	790	meV per atom
final energy	-21.3	eV per cell

The following is a DFT calculation (PBE) of a geometry-optimized Na3Pm2TlO6 structure.

Geometry as extended XYZ:
```
12
Lattice="3.027 -5.246 0.000 3.027 5.246 0.000 -1.999 0.000 5.668" Properties=species:S:1:pos:R:3 pbc="T T T"
Na 0.000 0.000 0.000
Na 3.027 1.648 0.000
Na 3.027 -1.648 0.000
Pm 2.028 3.494 2.834
Pm 2.028 -3.494 2.834
Tl 2.028 0.000 2.834
O 1.021 1.742 1.575
O 0.009 0.000 4.094
O 1.021 -1.742 1.575
O 3.035 1.742 4.093
O 4.047 0.000 1.575
O 3.035 -1.742 4.093
```

Computed properties:
crystal system	monoclinic
space group	No. 12
energy relative to the elements, uncorrected	-2101	meV per atom
final energy	-70.8	eV per cell

The following is a DFT calculation (PBE) of a geometry-optimized TaFe2Co structure.

Geometry as extended XYZ:
```
4
Lattice="1.350 0.780 8.496 -1.350 0.780 8.496 0.000 -1.559 8.496" Properties=species:S:1:pos:R:3 pbc="T T T"
Ta 0.000 0.000 0.000
Fe 0.000 0.000 6.186
Fe 0.000 0.000 19.303
Co 0.000 0.000 12.745
```

Computed properties:
crystal system	trigonal
space group	No. 166
final energy	-34.9	eV per cell
DFT formation energy	0.24	eV per atom

The following is a DFT calculation (PBE) of a geometry-optimized Li2Sn structure.

Geometry as extended XYZ:
```
6
Lattice="0.000 3.874 3.874 3.874 0.000 3.874 3.874 3.874 0.000" Properties=species:S:1:pos:R:3 pbc="T T T"
Li 0.000 0.000 0.000
Li 1.937 1.937 0.000
Li 1.937 0.000 1.937
Li 0.000 1.937 1.937
Sn 2.906 2.906 2.906
Sn 4.843 4.843 4.843
```

Computed properties:
crystal system	cubic
space group	No. 227
final energy	-16.6	eV per cell
DFT formation energy	-0.15	eV per atom

The following is a DFT calculation (PBE) of a geometry-optimized Dy2CuGe6 structure.

Geometry as extended XYZ:
```
9
Lattice="4.091 0.000 0.000 0.000 2.029 10.693 0.000 -2.029 10.693" Properties=species:S:1:pos:R:3 pbc="T T T"
Dy 0.000 0.000 0.000
Dy 0.000 0.000 7.197
Cu 2.046 0.000 16.692
Ge 0.000 0.000 12.890
Ge 0.000 0.000 15.394
Ge 2.046 0.000 2.189
Ge 2.046 0.000 4.702
Ge 2.046 0.000 9.879
Ge 2.046 0.000 19.018
```

Computed properties:
crystal system	orthorhombic
space group	No. 38
final energy	-44.8	eV per cell
DFT formation energy	-0.42	eV per atom

The following is a DFT calculation (PBE) of a geometry-optimized TlCuW2 structure.

Geometry as extended XYZ:
```
4
Lattice="3.324 0.000 0.000 0.000 3.324 0.000 0.000 0.000 6.309" Properties=species:S:1:pos:R:3 pbc="T T T"
Tl 0.000 0.000 0.000
Cu 1.662 1.662 4.760
W 0.000 0.000 3.245
W 1.662 1.662 2.047
```

Computed properties:
distance to the lowest polymorph of the same formula	27	meV/atom
crystal system	tetragonal
space group	No. 99
final energy	-30.1	eV per cell
DFT formation energy	0.58	eV per atom

The following is a DFT calculation (PBE) of a geometry-optimized TlCuPt2 structure.

Geometry as extended XYZ:
```
4
Lattice="1.455 0.840 9.380 -1.455 0.840 9.380 0.000 -1.680 9.380" Properties=species:S:1:pos:R:3 pbc="T T T"
Tl 0.000 0.000 0.000
Cu 0.000 0.000 14.070
Pt 0.000 0.000 6.743
Pt 0.000 0.000 21.397
```

Computed properties:
crystal system	trigonal
space group	No. 166
final energy	-18.1	eV per cell
DFT formation energy	0.12	eV per atom

The following is a DFT calculation (PBE) of a geometry-optimized BeTl2Se structure.

Geometry as extended XYZ:
```
4
Lattice="1.838 -3.285 0.000 1.838 3.285 0.000 0.000 0.000 8.833" Properties=species:S:1:pos:R:3 pbc="T T T"
Be 0.000 0.000 0.000
Tl 0.000 0.000 3.818
Tl 1.838 0.000 6.693
Se 1.838 0.000 1.041
```

Computed properties:
distance to the lowest polymorph of the same formula	199	meV/atom
crystal system	orthorhombic
space group	No. 35
energy relative to the elements, uncorrected	8	meV per atom
final energy	-11.9	eV per cell

The following is a DFT calculation (PBE) of a geometry-optimized AlSi2Ir structure.

Geometry as extended XYZ:
```
4
Lattice="3.156 0.000 0.000 0.000 3.537 0.000 -1.556 0.000 5.365" Properties=species:S:1:pos:R:3 pbc="T T T"
Al 0.000 0.000 0.000
Si 0.022 1.769 3.779
Si 1.597 0.000 2.755
Ir 1.579 1.769 0.890
```

Computed properties:
distance to the lowest polymorph of the same formula	40	meV/atom
crystal system	monoclinic
space group	No. 6
energy relative to the elements, uncorrected	-161	meV per atom
final energy	-24.1	eV per cell

The following is a DFT calculation (PBE) of a geometry-optimized AcPr7Y4 structure.

Geometry as extended XYZ:
```
12
Lattice="6.216 -3.130 0.000 6.216 3.130 0.000 -6.193 0.000 11.295" Properties=species:S:1:pos:R:3 pbc="T T T"
Ac 0.000 0.000 0.000
Pr -1.515 0.000 5.606
Pr 1.386 0.000 3.793
Pr 3.177 0.000 0.933
Pr 6.216 0.000 0.000
Pr 3.063 0.000 10.361
Pr 4.854 0.000 7.502
Pr 7.755 0.000 5.689
Y -3.026 0.000 8.757
Y 1.098 0.000 7.702
Y 5.142 0.000 3.593
Y 9.266 0.000 2.538
```

Computed properties:
distance to the lowest polymorph of the same formula	250	meV/atom
crystal system	monoclinic
space group	No. 12
final energy	-60.4	eV per cell
DFT formation energy	0.25	eV per atom

Among the records above, which one has the lowest final energy? Na3Pm2TlO6

What is the final energy in the second record? -53.0 eV per cell